[1]
Density functional theory data (PBE) for a relaxed structure of VIrRu2.

Raw total energy in eV/atom: -9.382
Formation energy from the elements in kcal/mol of atoms: -5.74

Cell lengths 2.747, 4.329, 4.675 Å; angles 90.00, 90.00, 90.00 degrees
Space group Pmm2 (No. 25)
Unique sites:
V 0.000 0.000 0.000 [1 per cell]
Ir 0.500 0.500 0.840 [1 per cell]
Ru 0.000 0.500 0.335 [1 per cell]
Ru 0.500 0.000 0.488 [1 per cell]



[2]
Density functional theory data (PBE) for a relaxed structure of Fe4OsPd.

Raw total energy in eV/atom: -8.223
Formation energy from the elements in kcal/mol of atoms: 3.59

Cell lengths 6.666, 6.666, 6.666 Å; angles 90.00, 90.00, 90.00 degrees
Space group F-43m (No. 216)
Unique sites:
Fe 0.125 0.125 0.125 [16 per cell]
Os 0.250 0.250 0.750 [4 per cell]
Pd 0.000 0.000 0.500 [4 per cell]



[3]
Density functional theory data (PBE) for a relaxed structure of V2Tc2Se.

Formation energy (no corrections) in eV per atom: 0.283
Raw total energy in eV/atom: -8.208

Cell lengths 7.199, 7.199, 2.992 Å; angles 90.00, 90.00, 90.00 degrees
Space group P4/mbm (No. 127)
Unique sites:
V 0.142 0.358 0.000 [4 per cell]
Tc 0.143 0.643 0.500 [4 per cell]
Se 0.000 0.000 0.000 [2 per cell]



> What is the raw total energy in the second record?

-8.223 eV/atom



> Which formula does entry 1 have?

VIrRu2



> Which formula does entry 3 have?

V2Tc2Se